# CaIrBr2

A geometry-optimized CaIrBr2 structure (GGA-PBE, Alexandria via LeMat-Bulk).

Raw formation energy   -4.28 kcal/mol of atoms
Fermi-level density of states   2.4 states/eV/cell
V   90.6 Å³/cell
ΔE to the lowest computed polymorph   1.52 eV/f.u.

abc: 5.7194 5.7194 5.7194
angles: 46.73 46.73 46.73
Fractional positions:
Ca 0.0000 0.0000 0.0000
Ir 0.5000 0.5000 0.5000
Br 0.2351 0.2351 0.2351
Br 0.7649 0.7649 0.7649

***

# Ca4IrBr

A geometry-optimized Ca4IrBr structure (GGA-PBE, Alexandria via LeMat-Bulk).

Raw formation energy   10.68 kcal/mol of atoms
Fermi-level density of states   6.1 states/eV/cell
V   183.6 Å³/cell

abc: 6.3798 6.3798 6.3798
angles: 60.00 60.00 60.00
Fractional positions:
Ca 0.1235 0.1235 0.1235
Ca 0.1235 0.1235 0.6296
Ca 0.1235 0.6296 0.1235
Ca 0.6296 0.1235 0.1235
Ir 0.7500 0.7500 0.7500
Br 0.5000 0.5000 0.5000

***

# CaIrBr2

A geometry-optimized CaIrBr2 structure (GGA-PBE, Alexandria via LeMat-Bulk).

Raw formation energy   -1.99 kcal/mol of atoms
Fermi-level density of states   4.3 states/eV/cell
V   87.5 Å³/cell
ΔE to the lowest computed polymorph   1.92 eV/f.u.

abc: 4.9834 4.9834 4.9834
angles: 60.00 60.00 60.00
Fractional positions:
Ca 0.0000 0.0000 0.0000
Ir 0.5000 0.5000 0.5000
Br 0.2500 0.2500 0.2500
Br 0.7500 0.7500 0.7500

***

# CaIrBr2

A geometry-optimized CaIrBr2 structure (GGA-PBE, Alexandria via LeMat-Bulk).

Raw formation energy   -6.59 kcal/mol of atoms
Fermi-level density of states   0.5 states/eV/cell
V   100.4 Å³/cell
ΔE to the lowest computed polymorph   1.12 eV/f.u.

abc: 4.9130 4.9130 4.1775
angles: 90.00 90.00 95.10
Fractional positions:
Ca 0.0000 0.0000 0.0000
Ir 0.5000 0.5000 0.0000
Br 0.2836 0.7164 0.5000
Br 0.7164 0.2836 0.5000

***

# CaIrBr2

A geometry-optimized CaIrBr2 structure (GGA-PBE, Alexandria via LeMat-Bulk).

Raw formation energy   -4.20 kcal/mol of atoms
Fermi-level density of states   4.9 states/eV/cell
V   90.0 Å³/cell
ΔE to the lowest computed polymorph   1.53 eV/f.u.

abc: 6.4396 6.4396 6.4396
angles: 144.39 144.39 51.24
Fractional positions:
Ca 0.0000 0.0000 0.0000
Ir 0.2500 0.7500 0.5000
Br 0.5000 0.5000 0.0000
Br 0.7500 0.2500 0.5000

***

# CaIrBr2

A geometry-optimized CaIrBr2 structure (GGA-PBE, Alexandria via LeMat-Bulk).

Raw formation energy   -6.20 kcal/mol of atoms
Fermi-level density of states   4.1 states/eV/cell
V   101.3 Å³/cell
ΔE to the lowest computed polymorph   1.19 eV/f.u.

abc: 3.8603 3.8603 6.7994
angles: 90.00 90.00 90.00
Fractional positions:
Ca 0.0000 0.0000 0.0000
Ir 0.5000 0.5000 0.1946
Br 0.0000 0.0000 0.4169
Br 0.5000 0.5000 0.8284

***

# CaIrBr2

A geometry-optimized CaIrBr2 structure (GGA-PBE, Alexandria via LeMat-Bulk).

Raw formation energy   -13.04 kcal/mol of atoms
Fermi-level density of states   1.9 states/eV/cell
V   115.9 Å³/cell
ΔE to the lowest computed polymorph   0.00 eV/f.u.

abc: 4.2024 3.8144 7.5180
angles: 90.00 105.87 90.00
Fractional positions:
Ca 0.0000 0.0000 0.0000
Ir 0.4364 0.5000 0.8714
Br 0.3259 0.0000 0.6519
Br 0.6127 0.5000 0.2160

***

# CaIrBr2

A geometry-optimized CaIrBr2 structure (GGA-PBE, Alexandria via LeMat-Bulk).

Raw formation energy   -12.48 kcal/mol of atoms
Fermi-level density of states   0.1 states/eV/cell
V   125.4 Å³/cell
ΔE to the lowest computed polymorph   0.10 eV/f.u.

abc: 7.2949 7.2949 4.0940
angles: 98.10 98.10 35.58
Fractional positions:
Ca 0.0000 0.0000 0.0000
Ir 0.5000 0.5000 0.5000
Br 0.3623 0.3623 0.8224
Br 0.6377 0.6377 0.1776

***

# CaIrBr2

A geometry-optimized CaIrBr2 structure (GGA-PBE, Alexandria via LeMat-Bulk).

Raw formation energy   2.63 kcal/mol of atoms
Fermi-level density of states   5.7 states/eV/cell
V   89.2 Å³/cell
ΔE to the lowest computed polymorph   2.72 eV/f.u.

abc: 3.5927 3.5927 6.9085
angles: 90.00 90.00 90.00
Fractional positions:
Ca 0.0000 0.0000 0.0000
Ir 0.0000 0.0000 0.5000
Br 0.5000 0.5000 0.2457
Br 0.5000 0.5000 0.7543

***

# CaIrBr2

A geometry-optimized CaIrBr2 structure (GGA-PBE, Alexandria via LeMat-Bulk).

Raw formation energy   5.08 kcal/mol of atoms
Fermi-level density of states   5.2 states/eV/cell
V   92.7 Å³/cell
ΔE to the lowest computed polymorph   3.14 eV/f.u.

abc: 5.0794 5.0794 5.0794
angles: 60.00 60.00 60.00
Fractional positions:
Ca 0.0000 0.0000 0.0000
Ir 0.2500 0.2500 0.2500
Br 0.5000 0.5000 0.5000
Br 0.7500 0.7500 0.7500

***

# CaIr4Br

A geometry-optimized CaIr4Br structure (GGA-PBE, Alexandria via LeMat-Bulk).

Raw formation energy   9.36 kcal/mol of atoms
Fermi-level density of states   11.4 states/eV/cell
V   110.5 Å³/cell

abc: 5.3866 5.3866 5.3866
angles: 60.00 60.00 60.00
Fractional positions:
Ca 0.0000 0.0000 0.0000
Ir 0.1242 0.6253 0.6253
Ir 0.6253 0.1242 0.6253
Ir 0.6253 0.6253 0.1242
Ir 0.6253 0.6253 0.6253
Br 0.2500 0.2500 0.2500

***

# CaIrBr2

A geometry-optimized CaIrBr2 structure (GGA-PBE, Alexandria via LeMat-Bulk).

Raw formation energy   -3.52 kcal/mol of atoms
Fermi-level density of states   3.2 states/eV/cell
V   83.5 Å³/cell
ΔE to the lowest computed polymorph   1.65 eV/f.u.

abc: 4.7406 4.7406 3.7133
angles: 90.00 90.00 90.00
Fractional positions:
Ca 0.0000 0.0000 0.0000
Ir 0.5000 0.5000 0.0000
Br 0.0000 0.5000 0.5000
Br 0.5000 0.0000 0.5000

***

# CaIrBr2

A geometry-optimized CaIrBr2 structure (GGA-PBE, Alexandria via LeMat-Bulk).

Raw formation energy   -5.23 kcal/mol of atoms
Fermi-level density of states   3.4 states/eV/cell
V   91.0 Å³/cell
ΔE to the lowest computed polymorph   1.35 eV/f.u.

abc: 3.4744 4.3469 6.0236
angles: 90.00 90.00 90.00
Fractional positions:
Ca 0.0000 0.0000 0.0000
Ir 0.5000 0.0000 0.5000
Br 0.0000 0.5000 0.5000
Br 0.5000 0.5000 0.0000

***

# CaIrBr2

A geometry-optimized CaIrBr2 structure (GGA-PBE, Alexandria via LeMat-Bulk).

Raw formation energy   -10.69 kcal/mol of atoms
Fermi-level density of states   2.8 states/eV/cell
V   109.3 Å³/cell
ΔE to the lowest computed polymorph   0.41 eV/f.u.

abc: 8.3266 8.3266 3.9555
angles: 103.26 103.26 24.20
Fractional positions:
Ca 0.0000 0.0000 0.0000
Ir 0.3539 0.3539 0.8593
Br 0.5888 0.5888 0.5858
Br 0.8376 0.8376 0.3435

***

# CaIrBr2

A geometry-optimized CaIrBr2 structure (GGA-PBE, Alexandria via LeMat-Bulk).

Raw formation energy   -5.79 kcal/mol of atoms
Fermi-level density of states   2.9 states/eV/cell
V   101.3 Å³/cell
ΔE to the lowest computed polymorph   1.26 eV/f.u.

abc: 5.4823 5.3250 4.9756
angles: 64.21 60.99 54.80
Fractional positions:
Ca 0.0000 0.0000 0.0000
Ir 0.5000 0.5000 0.5000
Br 0.0000 0.5000 0.5000
Br 0.5000 0.0000 0.0000

***

# CaIrBr6

A geometry-optimized CaIrBr6 structure (GGA-PBE, Alexandria via LeMat-Bulk).

Raw formation energy   -18.30 kcal/mol of atoms
Fermi-level density of states   7.5 states/eV/cell
V   235.8 Å³/cell
ΔE to the lowest computed polymorph   0.40 eV/f.u.

abc: 7.1784 7.1784 7.1784
angles: 55.75 55.75 55.75
Fractional positions:
Ca 0.0000 0.0000 0.0000
Ir 0.5000 0.5000 0.5000
Br 0.1007 0.7126 0.4532
Br 0.2874 0.5468 0.8993
Br 0.4532 0.1007 0.7126
Br 0.5468 0.8993 0.2874
Br 0.7126 0.4532 0.1007
Br 0.8993 0.2874 0.5468

***

# CaIrBr2

A geometry-optimized CaIrBr2 structure (GGA-PBE, Alexandria via LeMat-Bulk).

Raw formation energy   -3.93 kcal/mol of atoms
Fermi-level density of states   2.1 states/eV/cell
V   123.0 Å³/cell
ΔE to the lowest computed polymorph   1.58 eV/f.u.

abc: 8.2130 8.2130 8.2130
angles: 30.05 30.05 30.05
Fractional positions:
Ca 0.0000 0.0000 0.0000
Ir 0.5000 0.5000 0.5000
Br 0.3982 0.3982 0.3982
Br 0.6018 0.6018 0.6018

***

# Ca2MoIrBr

A geometry-optimized Ca2MoIrBr structure (GGA-PBE, Alexandria via LeMat-Bulk).

Raw formation energy   17.33 kcal/mol of atoms
Fermi-level density of states   2.6 states/eV/cell
V   152.9 Å³/cell

abc: 5.5227 5.5227 5.0124
angles: 90.00 90.00 90.00
Fractional positions:
Ca 0.0000 0.5000 0.0000
Ca 0.5000 0.0000 0.0000
Mo 0.0000 0.0000 0.5000
Ir 0.5000 0.5000 0.0000
Br 0.5000 0.5000 0.5000

***

# CaNbIr2Br

A geometry-optimized CaNbIr2Br structure (GGA-PBE, Alexandria via LeMat-Bulk).

Raw formation energy   29.39 kcal/mol of atoms
Fermi-level density of states   7.7 states/eV/cell
V   110.9 Å³/cell

abc: 4.7454 4.7454 4.9228
angles: 90.00 90.00 90.00
Fractional positions:
Ca 0.0000 0.0000 0.0000
Nb 0.5000 0.5000 0.0000
Ir 0.0000 0.5000 0.5000
Ir 0.5000 0.0000 0.5000
Br 0.0000 0.0000 0.5000

***

# CaIr2OsBr

A geometry-optimized CaIr2OsBr structure (GGA-PBE, Alexandria via LeMat-Bulk).

Raw formation energy   31.75 kcal/mol of atoms
Fermi-level density of states   6.0 states/eV/cell
V   102.4 Å³/cell

abc: 4.7169 4.7169 4.6024
angles: 90.00 90.00 90.00
Fractional positions:
Ca 0.0000 0.0000 0.0000
Ir 0.0000 0.5000 0.5000
Ir 0.5000 0.0000 0.5000
Os 0.5000 0.5000 0.0000
Br 0.5000 0.5000 0.5000

***

# CaIr2PdBr

A geometry-optimized CaIr2PdBr structure (GGA-PBE, Alexandria via LeMat-Bulk).

Raw formation energy   41.02 kcal/mol of atoms
Fermi-level density of states   6.1 states/eV/cell
V   129.8 Å³/cell

abc: 4.9860 4.9860 5.2205
angles: 90.00 90.00 90.00
Fractional positions:
Ca 0.0000 0.0000 0.0000
Ir 0.0000 0.5000 0.0000
Ir 0.5000 0.0000 0.0000
Pd 0.5000 0.5000 0.5000
Br 0.0000 0.0000 0.5000

***

# CaScIrBr2

A geometry-optimized CaScIrBr2 structure (GGA-PBE, Alexandria via LeMat-Bulk).

Raw formation energy   11.12 kcal/mol of atoms
Fermi-level density of states   2.4 states/eV/cell
V   211.5 Å³/cell

abc: 5.1196 5.1196 8.0686
angles: 90.00 90.00 90.00
Fractional positions:
Ca 0.0000 0.0000 0.0000
Sc 0.0000 0.0000 0.5000
Ir 0.5000 0.5000 0.5000
Br 0.0000 0.5000 0.0000
Br 0.5000 0.0000 0.0000

***

# CaIrSeBr2

A geometry-optimized CaIrSeBr2 structure (GGA-PBE, Alexandria via LeMat-Bulk).

Raw formation energy   11.21 kcal/mol of atoms
Fermi-level density of states   10.8 states/eV/cell
V   166.1 Å³/cell
ΔE to the lowest computed polymorph   4.59 eV/f.u.

abc: 5.3569 5.3569 5.7881
angles: 90.00 90.00 90.00
Fractional positions:
Ca 0.0000 0.0000 0.0000
Ir 0.5000 0.5000 0.5000
Se 0.0000 0.0000 0.5000
Br 0.0000 0.5000 0.0000
Br 0.5000 0.0000 0.0000

***

# CaIrSeBr2

A geometry-optimized CaIrSeBr2 structure (GGA-PBE, Alexandria via LeMat-Bulk).

Raw formation energy   -2.94 kcal/mol of atoms
Fermi-level density of states   5.9 states/eV/cell
V   143.6 Å³/cell
ΔE to the lowest computed polymorph   1.53 eV/f.u.

abc: 4.8232 4.8232 6.1720
angles: 90.00 90.00 90.00
Fractional positions:
Ca 0.0000 0.0000 0.0000
Ir 0.0000 0.0000 0.5000
Se 0.5000 0.5000 0.0000
Br 0.0000 0.5000 0.5000
Br 0.5000 0.0000 0.5000

***

# CaIrSeBr2

A geometry-optimized CaIrSeBr2 structure (GGA-PBE, Alexandria via LeMat-Bulk).

Raw formation energy   -9.98 kcal/mol of atoms
Fermi-level density of states   3.1 states/eV/cell
V   130.5 Å³/cell
ΔE to the lowest computed polymorph   0.00 eV/f.u.

abc: 5.0759 5.0759 5.0642
angles: 90.00 90.00 90.00
Fractional positions:
Ca 0.0000 0.0000 0.0000
Ir 0.5000 0.5000 0.5000
Se 0.5000 0.5000 0.0000
Br 0.0000 0.5000 0.5000
Br 0.5000 0.0000 0.5000

***

# CaZn2IrBr

A geometry-optimized CaZn2IrBr structure (GGA-PBE, Alexandria via LeMat-Bulk).

Raw formation energy   -2.37 kcal/mol of atoms
Fermi-level density of states   1.6 states/eV/cell
V   124.8 Å³/cell

abc: 4.7792 4.7792 5.4651
angles: 90.00 90.00 90.00
Fractional positions:
Ca 0.0000 0.0000 0.0000
Zn 0.0000 0.5000 0.5000
Zn 0.5000 0.0000 0.5000
Ir 0.5000 0.5000 0.5000
Br 0.5000 0.5000 0.0000

***

# KCa3Br

A geometry-optimized KCa3Br structure (GGA-PBE, Alexandria via LeMat-Bulk).

Raw formation energy   -5.68 kcal/mol of atoms
Fermi-level density of states   4.1 states/eV/cell
V   224.9 Å³/cell
ΔE to the lowest computed polymorph   0.00 eV/f.u.

abc: 6.0812 6.0812 6.0812
angles: 90.00 90.00 90.00
Fractional positions:
K 0.0000 0.0000 0.0000
Ca 0.0000 0.5000 0.5000
Ca 0.5000 0.0000 0.5000
Ca 0.5000 0.5000 0.0000
Br 0.5000 0.5000 0.5000

***

# KCaBr

A geometry-optimized KCaBr structure (GGA-PBE, Alexandria via LeMat-Bulk).

Raw formation energy   -19.51 kcal/mol of atoms
Fermi-level density of states   1.3 states/eV/cell
V   113.7 Å³/cell
ΔE to the lowest computed polymorph   0.23 eV/f.u.

abc: 8.0366 8.0366 8.0366
angles: 152.07 152.07 39.92
Fractional positions:
K 0.0000 0.0000 0.0000
Ca 0.2842 0.2842 0.0000
Br 0.6553 0.6553 0.0000

***

# KCa2Br

A geometry-optimized KCa2Br structure (GGA-PBE, Alexandria via LeMat-Bulk).

Raw formation energy   -15.79 kcal/mol of atoms
Fermi-level density of states   3.0 states/eV/cell
V   166.4 Å³/cell
ΔE to the lowest computed polymorph   0.00 eV/f.u.

abc: 4.0652 3.9237 10.6303
angles: 90.00 101.02 90.00
Fractional positions:
K 0.0000 0.0000 0.0000
Ca 0.2974 0.0000 0.5922
Ca 0.6676 0.5000 0.3329
Br 0.4084 0.5000 0.8177

***

# KCaBr

A geometry-optimized KCaBr structure (GGA-PBE, Alexandria via LeMat-Bulk).

Raw formation energy   -7.19 kcal/mol of atoms
V   161.1 Å³/cell
ΔE to the lowest computed polymorph   1.83 eV/f.u.

abc: 6.1082 6.1082 6.1082
angles: 60.00 60.00 60.00
Fractional positions:
K 0.0000 0.0000 0.0000
Ca 0.7500 0.7500 0.7500
Br 0.2500 0.2500 0.2500

***

no.,E (eV/f.u.)
1,-14.95
2,-15.76
3,-14.55
4,-15.35
5,-14.94
6,-15.28
7,-16.47
8,-16.37
9,-13.75
10,-13.33
11,-36.68
12,-14.82
13,-15.12
14,-16.06
15,-15.21
16,-27.25
17,-14.89
18,-21.61
19,-25.09
20,-25.74
21,-17.69
22,-18.13
23,-15.26
24,-18.33
25,-19.86
26,-15.60
27,-10.01
28,-7.31
29,-9.51
30,-5.71